## SiIr2RhBr (PBE)

Data for a relaxed structure of SiIr2RhBr.

Cell: 4.762 4.762 4.888 Å, 90.00 90.00 90.00°
Atoms (fractional coordinates):
Si 0.000 0.000 0.000
Ir 0.000 0.500 0.500
Ir 0.500 0.000 0.500
Rh 0.500 0.500 0.500
Br 0.500 0.500 0.000

Computed properties:
**Uncorrected formation energy**: 1664 meV/atom
**Magnetic moment**: 0.000 μB per formula unit